[1]
CdHg2RuS (GGA-PBE, relaxed); N(E_F) = 0.84 states/eV/atom; ΔE_f (raw) = 5.72 eV/f.u.
1.0
5.504 0.000 0.000
0.000 5.504 0.000
0.000 0.000 4.820
Cd Hg Ru S
1 2 1 1
Cartesian
0.000 0.000 0.000
0.000 2.752 0.000
2.752 0.000 0.000
2.752 2.752 2.410
0.000 0.000 2.410


[2]
Sc9Al3N2 (GGA-PBE, relaxed); N(E_F) = 0.82 states/eV/atom; ΔE_f (raw) = -11.57 eV/f.u.
1.0
6.267 0.000 0.000
-3.133 5.427 0.000
0.000 0.000 7.685
Sc Al N
9 3 2
Cartesian
-1.567 2.713 0.000
0.000 1.838 5.150
-1.542 4.508 5.150
1.591 0.919 2.535
3.133 0.000 0.000
1.567 2.713 0.000
1.542 4.508 5.150
4.675 0.919 2.535
3.133 3.589 2.535
0.000 0.000 0.000
0.000 3.618 2.576
3.133 1.809 5.109
0.000 3.618 6.418
3.133 1.809 1.267


[3]
PmHoSe2 (GGA-PBE, relaxed); N(E_F) = 0.38 states/eV/atom; ΔE_f (raw) = -7.15 eV/f.u.
1.0
4.058 0.000 0.000
-2.029 3.514 0.000
0.000 0.000 13.983
Pm Ho Se
2 2 4
Cartesian
0.000 2.343 3.496
2.029 1.171 10.487
0.000 0.000 0.000
0.000 0.000 6.991
0.000 2.343 8.634
0.000 2.343 12.340
2.029 1.171 1.643
2.029 1.171 5.349


[4]
FeTc2Ir (GGA-PBE, relaxed); DFT total energy = -9.560 eV/atom; N(E_F) = 1.00 states/eV/atom
1.0
3.761 0.000 0.000
0.000 3.761 0.000
0.000 0.000 3.874
Fe Tc Ir
1 2 1
Cartesian
0.000 0.000 0.000
0.000 1.881 1.937
1.881 0.000 1.937
1.881 1.881 0.000


[5]
AcPm3Sm (GGA-PBE, relaxed); DFT total energy = -4.472 eV/atom; N(E_F) = 1.35 states/eV/atom
1.0
9.344 -2.520 0.000
9.344 2.520 0.000
-3.300 0.000 8.067
Ac Pm Sm
2 6 2
Cartesian
1.660 0.000 1.200
13.728 0.000 6.867
-1.229 0.000 5.642
2.188 0.000 5.058
5.929 0.000 4.523
9.459 0.000 3.544
13.200 0.000 3.009
16.617 0.000 2.425
5.431 0.000 0.888
9.957 0.000 7.179


[6]
Sc2ReTc (GGA-PBE, relaxed); DFT total energy = -8.869 eV/atom; N(E_F) = 0.76 states/eV/atom
1.0
-1.618 2.382 4.410
1.618 -2.382 4.410
1.618 2.382 -4.410
Sc Re Tc
2 1 1
Cartesian
0.000 0.000 2.179
0.000 0.000 6.641
0.000 2.382 0.000
1.618 0.000 0.000


[7]
Ti3ReBr (GGA-PBE, relaxed); N(E_F) = 1.29 states/eV/atom; ΔE_f (raw) = 4.34 eV/f.u.
1.0
4.537 0.000 0.000
0.000 4.537 0.000
0.000 0.000 4.537
Ti Re Br
3 1 1
Cartesian
0.000 0.000 2.269
0.000 2.269 0.000
2.269 0.000 0.000
2.269 2.269 2.269
0.000 0.000 0.000


[8]
Ca4Ir (GGA-PBE, relaxed); DFT total energy = -3.563 eV/atom; N(E_F) = 0.62 states/eV/atom
1.0
-4.768 4.768 1.790
4.768 -4.768 1.790
4.768 4.768 -1.790
Ca Ir
4 1
Cartesian
7.231 0.572 0.000
0.572 2.304 0.000
4.196 2.463 1.790
-2.463 4.196 1.790
0.000 0.000 1.790